Here is an optimized crystal structure of NaTl2Pb from Alexandria via LeMat-Bulk. Energies are from GGA-PBE.

The space group is I-42d (No. 122) and the conventional cell measures 4.6702, 4.6702 and 23.0473 Å, with angles of 90.00, 90.00 and 90.00 degrees. The distinct sites, in fractional coordinates, are Na at (0.0000, 0.0000, 0.0000), Tl at (0.2463, 0.2500, 0.1250) and Pb at (0.0000, 0.0000, 0.5000).

***

Here is an optimized crystal structure of NaTl9Pb2 from Alexandria via LeMat-Bulk. Energies are from GGA-PBE.

The space group is P4/mmm (No. 123) and the conventional cell measures 5.2097, 5.2097 and 13.3746 Å, with angles of 90.00, 90.00 and 90.00 degrees. The distinct sites, in fractional coordinates, are Na at (0.0000, 0.0000, 0.0000), Tl at (0.0000, 0.5000, 0.1648), Tl at (0.0000, 0.5000, 0.5000), Tl at (0.5000, 0.5000, 0.0000), Tl at (0.5000, 0.5000, 0.3303) and Pb at (0.0000, 0.0000, 0.3250).

***

Here is an optimized crystal structure of NaTlPb from Alexandria via LeMat-Bulk. Energies are from GGA-PBE.

The space group is P3m1 (No. 156) and the conventional cell measures 5.3319, 5.3319 and 3.5911 Å, with angles of 90.00, 90.00 and 120.00 degrees. The distinct sites, in fractional coordinates, are Na at (0.0000, 0.0000, 0.0000), Tl at (0.6667, 0.3333, 0.2984) and Pb at (0.3333, 0.6667, 0.6308).

***

Here is an optimized crystal structure of NaTlPb3 from Alexandria via LeMat-Bulk. Energies are from GGA-PBE.

The space group is Pm-3m (No. 221) and the conventional cell measures 5.9429, 5.9429 and 5.9429 Å, with angles of 90.00, 90.00 and 90.00 degrees. The distinct sites, in fractional coordinates, are Na at (0.0000, 0.0000, 0.0000), Tl at (0.5000, 0.5000, 0.5000) and Pb at (0.0000, 0.5000, 0.5000).

***

Here is an optimized crystal structure of Na9Tl2Pb from Alexandria via LeMat-Bulk. Energies are from GGA-PBE.

The space group is P-1 (No. 2) and the conventional cell measures 5.4303, 8.6387 and 9.1914 Å, with angles of 101.65, 107.03 and 108.01 degrees. The distinct sites, in fractional coordinates, are Na at (0.0000, 0.0000, 0.0000), Na at (0.0092, 0.7525, 0.2654), Na at (0.3305, 0.1711, 0.4922), Na at (0.3364, 0.6877, 0.9860), Na at (0.3442, 0.4187, 0.2671), Tl at (0.3270, 0.9206, 0.7352) and Pb at (0.0000, 0.5000, 0.5000).

***

Here is an optimized crystal structure of NaTl3Pb2 from Alexandria via LeMat-Bulk. Energies are from GGA-PBE.

The space group is C2/c (No. 15) and the conventional cell measures 17.1961, 7.2032 and 5.8617 Å, with angles of 90.00, 90.36 and 90.00 degrees. The distinct sites, in fractional coordinates, are Na at (0.0000, 0.1422, 0.2500), Tl at (0.0000, 0.3738, 0.7500), Tl at (0.1625, 0.1214, 0.9210) and Pb at (0.1709, 0.3808, 0.4193).

***

Here is an optimized crystal structure of Na2Tl12Pb5 from Alexandria via LeMat-Bulk. Energies are from GGA-PBE.

The space group is C2/m (No. 12) and the conventional cell measures 18.7293, 11.2015 and 5.7823 Å, with angles of 90.00, 103.79 and 90.00 degrees. The distinct sites, in fractional coordinates, are Na at (0.0000, 0.2464, 0.0000), Tl at (0.0864, 0.5000, 0.2223), Tl at (0.0972, 0.2587, 0.6030), Tl at (0.1017, 0.0000, 0.0566), Tl at (0.1980, 0.2527, 0.1983), Pb at (0.0000, 0.0000, 0.5000), Pb at (0.1956, 0.5000, 0.8036) and Pb at (0.1998, 0.0000, 0.6217).

***

Here is an optimized crystal structure of NaTl2Pb3 from Alexandria via LeMat-Bulk. Energies are from GGA-PBE.

The space group is C2/m (No. 12) and the conventional cell measures 16.3262, 5.6617 and 9.4047 Å, with angles of 90.00, 122.33 and 90.00 degrees. The distinct sites, in fractional coordinates, are Na at (0.1295, 0.0000, 0.1339), Tl at (0.0426, 0.5000, 0.2094), Tl at (0.2055, 0.0000, 0.5396), Pb at (0.0430, 0.0000, 0.7108), Pb at (0.1217, 0.5000, 0.6238) and Pb at (0.2100, 0.5000, 0.0415).

***

Here is an optimized crystal structure of NaTl5Pb4 from Alexandria via LeMat-Bulk. Energies are from GGA-PBE.

The space group is P4/mmm (No. 123) and the conventional cell measures 3.6105, 3.6105 and 23.2889 Å, with angles of 90.00, 90.00 and 90.00 degrees. The distinct sites, in fractional coordinates, are Na at (0.0000, 0.0000, 0.0000), Tl at (0.5000, 0.5000, 0.0949), Tl at (0.5000, 0.5000, 0.2975), Tl at (0.5000, 0.5000, 0.5000), Pb at (0.0000, 0.0000, 0.1927) and Pb at (0.0000, 0.0000, 0.3975).

***

Here is an optimized crystal structure of NaTlPb from Alexandria via LeMat-Bulk. Energies are from GGA-PBE.

The space group is P6_3/mmc (No. 194) and the conventional cell measures 5.5279, 5.5279 and 6.7328 Å, with angles of 90.00, 90.00 and 120.00 degrees. The distinct sites, in fractional coordinates, are Na at (0.0000, 0.0000, 0.0000), Tl at (0.3333, 0.6667, 0.2500) and Pb at (0.3333, 0.6667, 0.7500).

***

Here is an optimized crystal structure of NaTlPb from Alexandria via LeMat-Bulk. Energies are from GGA-PBE.

The space group is Pnma (No. 62) and the conventional cell measures 6.9097, 4.8623 and 10.4903 Å, with angles of 90.00, 90.00 and 90.00 degrees. The distinct sites, in fractional coordinates, are Na at (0.1299, 0.2500, 0.0935), Tl at (0.1101, 0.2500, 0.7506) and Pb at (0.1238, 0.2500, 0.4279).

***

Here is an optimized crystal structure of Na8Tl5Pb from Alexandria via LeMat-Bulk. Energies are from GGA-PBE.

The space group is I-4 (No. 82) and the conventional cell measures 10.2535, 10.2535 and 8.4667 Å, with angles of 90.00, 90.00 and 90.00 degrees. The distinct sites, in fractional coordinates, are Na at (0.0080, 0.1700, 0.1845), Na at (0.1509, 0.2675, 0.5355), Tl at (0.0000, 0.5000, 0.2500), Tl at (0.0907, 0.3615, 0.8918) and Pb at (0.0000, 0.0000, 0.5000).

***

Taking the records one at a time from the top gives final energy values of -38.297, -30.300, -7.659, -12.907, -21.231, -64.579, -99.261, -69.700, -28.210, -15.189, -30.997, -53.470 eV per cell.
Taking the records one at a time from the top gives DOS at the Fermi energy values of 10.00, 5.39, 1.51, 2.73, 5.03, 8.57, 15.40, 11.19, 4.51, 2.82, 5.29, 17.23 states/eV/cell.